Model A:
Computed, not measured: a relaxed structure of Li7Mn2Co3O12 at the PBE with a Hubbard U level of DFT.

a = 2.9421 Å, b = 6.4195 Å, c = 11.9140 Å
α = 103.01°, β = 93.51°, γ = 102.69°
Last column: nearest neighbours and their distance in Å.
Positions (direct):
Li  0.6534  0.3263  0.6696  6 O 2.03-2.23
Li  0.6261  0.3268  0.4194  5 O 2.01-2.17
Li  0.0193  0.0147  0.7463  6 O 2.08-2.20
Li  0.3133  0.6627  0.0929  5 O 2.03-2.15
Li  0.9889  0.0018  0.2525  6 O 2.09-2.17
Li  0.7152  0.3323  0.9034  5 O 1.97-2.18
Li  0.3258  0.6586  0.5798  5 O 2.04-2.17
O  0.1963  0.3574  0.7957  1 Mn 1.83, 2 Li 1.97-1.99
O  0.4990  0.9817  0.3798  2 Co 1.91-1.96, 2 Li 2.10-2.11
O  0.8294  0.6685  0.7223  2 Mn 1.94, 3 Li 2.08-2.16
O  0.1359  0.3281  0.0594  2 Co 1.96, 1 Mn 1.96, 2 Li 2.03-2.18
O  0.4572  0.9928  0.6134  2 Co 1.87-2.08, 2 Li 2.03-2.04
O  0.1977  0.3493  0.2795  3 Co 1.94-1.96, 2 Li 2.08-2.12
O  0.8823  0.6789  0.9444  3 Mn 2.00-2.02, 2 Li 2.10-2.15
O  0.4813  0.0125  0.1246  1 Mn 1.93, 1 Co 1.97, 2 Li 2.09-2.13
O  0.1335  0.3010  0.5325  1 Co 1.76
O  0.8523  0.6521  0.2136  2 Co 1.92, 3 Li 2.04-2.13
O  0.5361  0.9918  0.8797  2 Mn 1.93-2.03, 1 Li 2.08
O  0.8083  0.6830  0.4534  2 Co 1.91-2.00, 1 Li 2.13
Co  0.9876  0.0116  0.5058  3 O 1.76-1.96
Co  0.6665  0.3359  0.1696  6 O 1.92-1.97
Co  0.3329  0.6669  0.3331  4 O 1.91-1.94
Mn  0.3493  0.6583  0.8270  6 O 1.83-2.03
Mn  0.0124  0.0068  0.0025  4 O 1.93-2.00

- symmetry = P1 (1)
- M_tot (Bohr magnetons per cell) = 12.00

***

Model B:
Computed, not measured: a relaxed structure of Li7Mn2Co3O12 at the PBE with a Hubbard U level of DFT.

a = 5.0480 Å, b = 5.8907 Å, c = 7.6697 Å
α = 103.22°, β = 107.48°, γ = 91.00°
Last column: nearest neighbours and their distance in Å.
Positions (direct):
O  0.7806  0.5562  0.1687  2 Co 1.91-1.92
O  0.2354  0.6023  0.5061  1 Mn 1.93, 1 Co 1.93, 2 Li 2.09-2.14
O  0.2130  0.4782  0.8321  1 Co 1.90, 1 Mn 1.97, 2 Li 2.04-2.05
O  0.7757  0.3834  0.4997  1 Co 1.91, 1 Mn 1.94, 3 Li 2.04-2.13
O  0.2228  0.9487  0.8356  2 Mn 1.92-1.95, 3 Li 2.09-2.14
O  0.7846  0.8500  0.5019  1 Co 1.92, 1 Mn 1.94, 3 Li 2.02-2.14
O  0.7757  0.2135  0.8555  1 Mn 1.93, 1 Co 1.93, 3 Li 2.03-2.13
O  0.2404  0.1014  0.4876  2 Co 1.88-2.08, 4 Li 2.01-2.07
O  0.2042  0.8031  0.1493  2 Co 1.95-1.96, 1 Mn 1.99, 2 Li 2.11-2.17
O  0.2297  0.2825  0.1662  1 Mn 1.93, 1 Co 1.96, 2 Li 2.09-2.11
O  0.7628  0.7317  0.8270  2 Mn 1.95, 2 Li 2.10-2.14
O  0.7683  0.0570  0.1664  1 Co 1.93, 1 Mn 1.94, 3 Li 2.10-2.14
Co  0.9949  0.5054  0.9980  4 O 1.90-1.95
Co  0.0032  0.8352  0.3349  4 O 1.88-1.96
Co  0.0082  0.3245  0.3407  5 O 1.91-2.08
Li  0.4997  0.9271  0.6611  6 O 2.04-2.19
Li  0.0048  0.1639  0.6658  6 O 2.04-2.13
Li  0.4975  0.2532  0.0014  5 O 2.03-2.15
Li  0.5093  0.0842  0.3387  5 O 2.01-2.18
Li  0.4924  0.7548  0.9967  6 O 2.04-2.20
Li  0.4917  0.3972  0.6639  6 O 2.07-2.25
Li  0.5129  0.5701  0.3409  5 O 2.02-2.15
Mn  0.9925  0.0110  0.9968  6 O 1.92-1.99
Mn  0.9997  0.6654  0.6647  6 O 1.93-1.97

- symmetry = P1 (1)
- M_tot (Bohr magnetons per cell) = 12.00

***

Energies relative to the most stable structure, in eV/atom: model A 0.027; model B 0.000.